Material: PrY2Zn9
Method: DFT, PBE-GGA
State: relaxed

The value obtained for the energy of formation is -0.328 eV per atom. Its uncorrected energy is -2.759 eV/atom. As for the density: 6682 kg/m³. The value obtained for the density of states at the Fermi level is 22.360 states/eV per cell.

The space group is R-3m (No. 166, hexagonal axes) and the conventional cell measures 5.4903, 5.4903 and 25.9131 Å, with angles of 90.00, 90.00 and 120.00 degrees. The inequivalent atoms are Pr at (0.0000, 0.0000, 0.0000), Y at (0.0000, 0.0000, 0.1406), Zn at (0.0000, 0.0000, 0.3352), Zn at (0.0000, 0.0000, 0.5000) and Zn at (0.0067, 0.5033, 0.9168).

Material: TaIr3Pt
Method: DFT, PBE-GGA
State: relaxed

The calculation puts the energy above the most stable polymorph in this dataset at 336 meV per atom. The value obtained for the energy of formation is 2.027 eV per atom. Its uncorrected energy is -6.868 eV/atom. As for the density: 15137 kg/m³. The value obtained for the density of states at the Fermi level is 9.059 states/eV per cell.

The space group is Pm-3m (No. 221) and the conventional cell measures 4.710, 4.710 and 4.710 Å, with angles of 90.00, 90.00 and 90.00 degrees. The inequivalent atoms are Ta at (0.000, 0.000, 0.000), Ir at (0.000, 0.500, 0.500) and Pt at (0.500, 0.500, 0.500).

Material: CoAgPd6
Method: DFT, PBE-GGA
State: relaxed

The value obtained for the energy of formation is 0.023 eV per atom. Its uncorrected energy is -5.117 eV/atom. As for the density: 11008 kg/m³. The value obtained for the density of states at the Fermi level is 11.536 states/eV per cell.

The space group is P4/mmm (No. 123) and the conventional cell measures 3.938, 3.938 and 7.833 Å, with angles of 90.00, 90.00 and 90.00 degrees. The inequivalent atoms are Co at (0.000, 0.000, 0.000), Ag at (0.000, 0.000, 0.500), Pd at (0.000, 0.500, 0.238), Pd at (0.500, 0.500, 0.000) and Pd at (0.500, 0.500, 0.500).

Material: SmMo4
Method: DFT, PBE-GGA
State: relaxed

The value obtained for the energy of formation is 2.738 eV per atom. Its uncorrected energy is -6.871 eV/atom. As for the density: 8313 kg/m³. The value obtained for the density of states at the Fermi level is 5.386 states/eV per cell.

The space group is Pm-3m (No. 221) and the conventional cell measures 4.743, 4.743 and 4.743 Å, with angles of 90.00, 90.00 and 90.00 degrees. The inequivalent atoms are Sm at (0.000, 0.000, 0.000), Mo at (0.000, 0.000, 0.500) and Mo at (0.500, 0.500, 0.500).

Material: ZnBr2F
Method: DFT, PBE-GGA
State: relaxed

The calculation puts the energy above the most stable polymorph in this dataset at 0 meV per atom. Its uncorrected energy is -2.184 eV/atom. As for the density: 4250 kg/m³. The value obtained for the density of states at the Fermi level is 5.549 states/eV per cell. For the raw formation energy, the calculation gives -0.56 eV per atom.

The space group is R-3m (No. 166, hexagonal axes) and the conventional cell measures 3.8136, 3.8136 and 22.7270 Å, with angles of 90.00, 90.00 and 120.00 degrees. The inequivalent atoms are Zn at (0.0000, 0.0000, 0.0000), Br at (0.0000, 0.0000, 0.3984) and F at (0.0000, 0.0000, 0.5000).

Material: Th2AgAu
Method: DFT, PBE-GGA
State: relaxed

The value obtained for the energy of formation is -0.292 eV per atom. Its uncorrected energy is -5.534 eV/atom. As for the density: 12509 kg/m³. The value obtained for the density of states at the Fermi level is 3.787 states/eV per cell.

The space group is P4/mmm (No. 123) and the conventional cell measures 4.868, 4.868 and 4.307 Å, with angles of 90.00, 90.00 and 90.00 degrees. The inequivalent atoms are Th at (0.000, 0.500, 0.000), Ag at (0.000, 0.000, 0.500) and Au at (0.500, 0.500, 0.500).

Material: LaTa3N6
Method: DFT, PBE-GGA
State: relaxed

Its uncorrected energy is -9.911 eV/atom. As for the density: 6521 kg/m³. The value obtained for the density of states at the Fermi level is 0.000 states/eV per cell. For the raw formation energy, the calculation gives -0.87 eV per atom.

The space group is R-3 (No. 148, hexagonal axes) and the conventional cell measures 8.9980, 8.9980 and 16.6865 Å, with angles of 90.00, 90.00 and 120.00 degrees. The inequivalent atoms are La at (0.0000, 0.0000, 0.0000), La at (0.0000, 0.0000, 0.5000), Ta at (0.0203, 0.2752, 0.1632), N at (0.0526, 0.4737, 0.1081) and N at (0.0551, 0.2229, 0.8927).

Material: SmNbAl4
Method: DFT, PBE-GGA
State: relaxed

The value obtained for the energy of formation is -0.344 eV per atom. Its uncorrected energy is -5.304 eV/atom. As for the density: 5261 kg/m³. The value obtained for the density of states at the Fermi level is 7.911 states/eV per cell.

The space group is F-43m (No. 216) and the conventional cell measures 7.626, 7.626 and 7.626 Å, with angles of 90.00, 90.00 and 90.00 degrees. The inequivalent atoms are Sm at (0.000, 0.000, 0.000), Nb at (0.250, 0.250, 0.750) and Al at (0.124, 0.124, 0.376).

Material: EuHfCd2
Method: DFT, PBE-GGA
State: relaxed

The value obtained for the energy of formation is -0.066 eV per atom. Its uncorrected energy is -5.580 eV/atom. As for the density: 9230 kg/m³. The value obtained for the density of states at the Fermi level is 6.058 states/eV per cell.

The space group is P4/mmm (No. 123) and the conventional cell measures 3.503, 3.503 and 8.139 Å, with angles of 90.00, 90.00 and 90.00 degrees. The inequivalent atoms are Eu at (0.000, 0.000, 0.000), Hf at (0.000, 0.000, 0.500) and Cd at (0.500, 0.500, 0.284).

Material: Al2CrSb
Method: DFT, PBE-GGA
State: relaxed

Its uncorrected energy is -5.088 eV/atom. As for the density: 5261 kg/m³. The value obtained for the density of states at the Fermi level is 3.538 states/eV per cell. For the raw formation energy, the calculation gives 0.22 eV per atom.

The space group is I-4m2 (No. 119) and the conventional cell measures 4.109, 4.109 and 8.515 Å, with angles of 90.00, 90.00 and 90.00 degrees. The inequivalent atoms are Al at (0.000, 0.000, 0.000), Al at (0.000, 0.500, 0.250), Cr at (0.000, 0.500, 0.750) and Sb at (0.000, 0.000, 0.500).